## DyNi3As3 (GGA-PBE)

Data for crystalline DyNi3As3 at its relaxed geometry.

Results
DOS(E_F) in states/eV per atom: 0.6724
VASP energy in eV for the cell shown: -76.098
E_form in eV per atom: -0.31
Density in g cm⁻³: 7.1

a = 6.3994 Å, b = 6.3994 Å, c = 6.3994 Å
α = 90.00°, β = 90.00°, γ = 90.00°
Positions (direct):
1 Dy 0.0000 0.0000 0.0000
2 Dy 0.5000 0.5000 0.5000
3 Ni 0.0000 0.2500 0.5000
4 Ni 0.0000 0.7500 0.5000
5 Ni 0.2500 0.5000 0.0000
6 Ni 0.5000 0.0000 0.2500
7 Ni 0.5000 0.0000 0.7500
8 Ni 0.7500 0.5000 0.0000
9 As 0.0000 0.5000 0.2500
10 As 0.0000 0.5000 0.7500
11 As 0.2500 0.0000 0.5000
12 As 0.5000 0.2500 0.0000
13 As 0.5000 0.7500 0.0000
14 As 0.7500 0.0000 0.5000